CaIn2H | GGA-PBEsol | relaxed

## Properties
Uncorrected energy in eV/atom: -2.507
Symmetry: Fm-3m (225)
DOS(E_F) in states/eV per cell: 2.43

a = 5.0157 Å, b = 5.0157 Å, c = 5.0157 Å
α = 60.00°, β = 60.00°, γ = 60.00°
Element x y z (fractional)
Ca (0.0000, 0.0000, 0.0000)
In (0.2500, 0.2500, 0.2500)
In (0.7500, 0.7500, 0.7500)
H (0.5000, 0.5000, 0.5000)

=====

CaMg2Al | GGA-PBEsol | relaxed

## Properties
Uncorrected energy in eV/atom: -2.323
Symmetry: Cmmm (65)
DOS(E_F) in states/eV per cell: 2.66
Calculated formation energy in eV per atom: 0.092

a = 5.7527 Å, b = 5.7527 Å, c = 3.2202 Å
α = 90.00°, β = 90.00°, γ = 113.27°
Element x y z (fractional)
Ca (0.0000, 0.0000, 0.0000)
Mg (0.0000, 0.5000, 0.5000)
Mg (0.5000, 0.0000, 0.5000)
Al (0.5000, 0.5000, 0.0000)

=====

Ca3As2 | GGA-PBEsol | relaxed

## Properties
Uncorrected energy in eV/atom: -4.471
Symmetry: P-3m1 (164)
Calculated formation energy in eV per atom: -1.149

a = 4.8529 Å, b = 4.8529 Å, c = 6.6260 Å
α = 90.00°, β = 90.00°, γ = 120.00°
Element x y z (fractional)
Ca (0.0000, 0.0000, 0.0000)
Ca (0.3333, 0.6667, 0.3252)
Ca (0.6667, 0.3333, 0.6748)
As (0.3333, 0.6667, 0.7810)
As (0.6667, 0.3333, 0.2190)

=====

CsCu2Cl | GGA-PBEsol | relaxed

## Properties
Uncorrected energy in eV/atom: -2.224
Energy relative to the elements, uncorrected in meV per atom: 681
Symmetry: Fm-3m (225)
DOS(E_F) in states/eV per cell: 4.09

a = 5.0106 Å, b = 5.0106 Å, c = 5.0106 Å
α = 60.00°, β = 60.00°, γ = 60.00°
Element x y z (fractional)
Cs (0.0000, 0.0000, 0.0000)
Cu (0.2500, 0.2500, 0.2500)
Cu (0.7500, 0.7500, 0.7500)
Cl (0.5000, 0.5000, 0.5000)

=====

Co3HRh | GGA-PBEsol | relaxed

## Properties
Uncorrected energy in eV/atom: -6.895
Symmetry: Pm-3m (221)
DOS(E_F) in states/eV per cell: 5.54

a = 3.5901 Å, b = 3.5901 Å, c = 3.5901 Å
α = 90.00°, β = 90.00°, γ = 90.00°
Element x y z (fractional)
Co (0.0000, 0.0000, 0.5000)
Co (0.0000, 0.5000, 0.0000)
Co (0.5000, 0.0000, 0.0000)
H (0.0000, 0.0000, 0.0000)
Rh (0.5000, 0.5000, 0.5000)

=====

CdSi | GGA-PBEsol | relaxed

## Properties
Uncorrected energy in eV/atom: -3.081
Energy relative to the elements, uncorrected in meV per atom: 391
Symmetry: Pmma (51)
DOS(E_F) in states/eV per cell: 1.43

a = 4.3776 Å, b = 3.9168 Å, c = 4.4665 Å
α = 90.00°, β = 90.00°, γ = 90.00°
Element x y z (fractional)
Cd (0.2500, 0.0000, 0.1995)
Cd (0.7500, 0.0000, 0.8005)
Si (0.2500, 0.5000, 0.6564)
Si (0.7500, 0.5000, 0.3436)

=====

RbTiPS2 | GGA-PBEsol | relaxed

## Properties
Uncorrected energy in eV/atom: -5.468
Energy relative to the elements, uncorrected in meV per atom: -686
Symmetry: P4/mmm (123)
DOS(E_F) in states/eV per cell: 4.25

a = 4.7779 Å, b = 4.7779 Å, c = 4.7757 Å
α = 90.00°, β = 90.00°, γ = 90.00°
Element x y z (fractional)
Rb (0.0000, 0.0000, 0.0000)
Ti (0.5000, 0.5000, 0.5000)
P (0.5000, 0.5000, 0.0000)
S (0.0000, 0.5000, 0.5000)
S (0.5000, 0.0000, 0.5000)

=====

HfMgN2 | GGA-PBEsol | relaxed

## Properties
Uncorrected energy in eV/atom: -8.948
Energy relative to the elements, uncorrected in meV per atom: -1630
Symmetry: I4_1/amd (141)

a = 5.5076 Å, b = 5.5076 Å, c = 5.5076 Å
α = 132.91°, β = 132.91°, γ = 68.79°
Element x y z (fractional)
Hf (0.3750, 0.6250, 0.7500)
Hf (0.6250, 0.3750, 0.2500)
Mg (0.1250, 0.8750, 0.2500)
Mg (0.8750, 0.1250, 0.7500)
N (0.1354, 0.3854, 0.7500)
N (0.3854, 0.1354, 0.2500)
N (0.6146, 0.8646, 0.7500)
N (0.8646, 0.6146, 0.2500)

=====

FeMo3I | GGA-PBEsol | relaxed

## Properties
Uncorrected energy in eV/atom: -6.733
Energy relative to the elements, uncorrected in meV per atom: 2474
Symmetry: Pm-3m (221)
DOS(E_F) in states/eV per cell: 6.51

a = 4.7721 Å, b = 4.7721 Å, c = 4.7721 Å
α = 90.00°, β = 90.00°, γ = 90.00°
Element x y z (fractional)
Fe (0.0000, 0.0000, 0.0000)
Mo (0.0000, 0.5000, 0.5000)
Mo (0.5000, 0.0000, 0.5000)
Mo (0.5000, 0.5000, 0.0000)
I (0.5000, 0.5000, 0.5000)

=====

Rb2NaErCl6 | GGA-PBEsol | relaxed

## Properties
Uncorrected energy in eV/atom: -4.132
Energy relative to the elements, uncorrected in meV per atom: -2089
Symmetry: Fm-3m (225)
DOS(E_F) in states/eV per cell: 0.00

a = 7.4383 Å, b = 7.4383 Å, c = 7.4383 Å
α = 60.00°, β = 60.00°, γ = 60.00°
Element x y z (fractional)
Rb (0.2500, 0.2500, 0.2500)
Rb (0.7500, 0.7500, 0.7500)
Na (0.0000, 0.0000, 0.0000)
Er (0.5000, 0.5000, 0.5000)
Cl (0.2556, 0.2556, 0.7444)
Cl (0.2556, 0.7444, 0.2556)
Cl (0.2556, 0.7444, 0.7444)
Cl (0.7444, 0.2556, 0.2556)
Cl (0.7444, 0.2556, 0.7444)
Cl (0.7444, 0.7444, 0.2556)

=====

MgIr2Rh | GGA-PBEsol | relaxed

## Properties
Uncorrected energy in eV/atom: -7.540
Symmetry: Cm (8)
DOS(E_F) in states/eV per cell: 3.37
Calculated formation energy in eV per atom: -0.165

a = 4.7172 Å, b = 4.7172 Å, c = 4.6892 Å
α = 99.30°, β = 99.30°, γ = 33.79°
Element x y z (fractional)
Mg (0.0000, 0.0000, 0.0000)
Ir (0.2419, 0.2419, 0.7089)
Ir (0.4990, 0.4990, 0.5030)
Rh (0.7556, 0.7556, 0.2287)

=====

PbAu | GGA-PBEsol | relaxed

## Properties
Uncorrected energy in eV/atom: -3.873
Symmetry: I4_1/amd (141)
DOS(E_F) in states/eV per cell: 1.98
Calculated formation energy in eV per atom: 0.088

a = 5.8942 Å, b = 5.8942 Å, c = 5.8942 Å
α = 137.74°, β = 137.74°, γ = 61.30°
Element x y z (fractional)
Pb (0.3750, 0.6250, 0.7500)
Pb (0.6250, 0.3750, 0.2500)
Au (0.1250, 0.8750, 0.2500)
Au (0.8750, 0.1250, 0.7500)

=====

BaSnTeI2 | GGA-PBEsol | relaxed

## Properties
Uncorrected energy in eV/atom: -2.878
Energy relative to the elements, uncorrected in meV per atom: -184
Symmetry: P4/mmm (123)
DOS(E_F) in states/eV per cell: 2.74

a = 6.3199 Å, b = 6.3199 Å, c = 6.5968 Å
α = 90.00°, β = 90.00°, γ = 90.00°
Element x y z (fractional)
Ba (0.0000, 0.0000, 0.0000)
Sn (0.5000, 0.5000, 0.5000)
Te (0.0000, 0.0000, 0.5000)
I (0.0000, 0.5000, 0.0000)
I (0.5000, 0.0000, 0.0000)

=====

MgVBiO5 | GGA-PBEsol | relaxed

## Properties
Uncorrected energy in eV/atom: -7.382
Energy relative to the elements, uncorrected in meV per atom: -2146
Offset from the most stable computed form in meV/atom: 48
Symmetry: Pbca (61)
DOS(E_F) in states/eV per cell: 0.00

a = 5.1794 Å, b = 15.4172 Å, c = 10.4065 Å
α = 90.00°, β = 90.00°, γ = 90.00°
Element x y z (fractional)
Mg (0.0007, 0.0503, 0.1350)
Mg (0.0007, 0.4497, 0.6350)
Mg (0.4993, 0.5503, 0.1350)
Mg (0.4993, 0.9497, 0.6350)
Mg (0.5007, 0.0503, 0.3650)
Mg (0.5007, 0.4497, 0.8650)
Mg (0.9993, 0.5503, 0.3650)
Mg (0.9993, 0.9497, 0.8650)
V (0.0111, 0.0887, 0.6034)
V (0.0111, 0.4113, 0.1034)
V (0.4889, 0.5887, 0.6034)
V (0.4889, 0.9113, 0.1034)
V (0.5111, 0.0887, 0.8966)
V (0.5111, 0.4113, 0.3966)
V (0.9889, 0.5887, 0.8966)
V (0.9889, 0.9113, 0.3966)
Bi (0.0106, 0.7313, 0.1416)
Bi (0.0106, 0.7687, 0.6416)
Bi (0.4894, 0.2313, 0.1416)
Bi (0.4894, 0.2687, 0.6416)
Bi (0.5106, 0.7313, 0.3584)
Bi (0.5106, 0.7687, 0.8584)
Bi (0.9894, 0.2313, 0.3584)
Bi (0.9894, 0.2687, 0.8584)
O (0.0876, 0.1859, 0.6799)
O (0.0876, 0.3141, 0.1799)
O (0.1427, 0.5157, 0.8013)
O (0.1427, 0.9843, 0.3013)
O (0.1829, 0.6569, 0.2910)
O (0.1829, 0.8431, 0.7910)
O (0.1914, 0.6201, 0.0221)
O (0.1914, 0.8799, 0.5221)
O (0.2034, 0.5527, 0.5410)
O (0.2034, 0.9473, 0.0410)
O (0.2966, 0.0527, 0.5410)
O (0.2966, 0.4473, 0.0410)
O (0.3086, 0.1201, 0.0221)
O (0.3086, 0.3799, 0.5221)
O (0.3171, 0.1569, 0.2910)
O (0.3171, 0.3431, 0.7910)
O (0.3573, 0.0157, 0.8013)
O (0.3573, 0.4843, 0.3013)
O (0.4124, 0.6859, 0.6799)
O (0.4124, 0.8141, 0.1799)
O (0.5876, 0.1859, 0.8201)
O (0.5876, 0.3141, 0.3201)
O (0.6427, 0.5157, 0.6987)
O (0.6427, 0.9843, 0.1987)
O (0.6829, 0.6569, 0.2090)
O (0.6829, 0.8431, 0.7090)
O (0.6914, 0.6201, 0.4779)
O (0.6914, 0.8799, 0.9779)
O (0.7034, 0.5527, 0.9590)
O (0.7034, 0.9473, 0.4590)
O (0.7966, 0.0527, 0.9590)
O (0.7966, 0.4473, 0.4590)
O (0.8086, 0.1201, 0.4779)
O (0.8086, 0.3799, 0.9779)
O (0.8171, 0.1569, 0.2090)
O (0.8171, 0.3431, 0.7090)
O (0.8573, 0.0157, 0.6987)
O (0.8573, 0.4843, 0.1987)
O (0.9124, 0.6859, 0.8201)
O (0.9124, 0.8141, 0.3201)

=====

YScCo4 | GGA-PBEsol | relaxed

## Properties
Uncorrected energy in eV/atom: -7.661
Symmetry: F-43m (216)
DOS(E_F) in states/eV per cell: 8.58
Calculated formation energy in eV per atom: -0.265

a = 4.8872 Å, b = 4.8872 Å, c = 4.8872 Å
α = 60.00°, β = 60.00°, γ = 60.00°
Element x y z (fractional)
Y (0.0000, 0.0000, 0.0000)
Sc (0.2500, 0.2500, 0.2500)
Co (0.1268, 0.6244, 0.6244)
Co (0.6244, 0.1268, 0.6244)
Co (0.6244, 0.6244, 0.1268)
Co (0.6244, 0.6244, 0.6244)

=====

CuSb2Os | GGA-PBEsol | relaxed

## Properties
Uncorrected energy in eV/atom: -6.103
Energy relative to the elements, uncorrected in meV per atom: 314
Offset from the most stable computed form in meV/atom: 0
Symmetry: P4mm (99)
DOS(E_F) in states/eV per cell: 3.20

a = 3.2390 Å, b = 3.2390 Å, c = 7.3917 Å
α = 90.00°, β = 90.00°, γ = 90.00°
Element x y z (fractional)
Cu (0.0000, 0.0000, 0.0000)
Sb (0.0000, 0.0000, 0.3902)
Sb (0.5000, 0.5000, 0.8070)
Os (0.5000, 0.5000, 0.1873)

=====

KCoPb2Se | GGA-PBEsol | relaxed

## Properties
Uncorrected energy in eV/atom: -2.652
Energy relative to the elements, uncorrected in meV per atom: 1492
Symmetry: P4/mmm (123)
DOS(E_F) in states/eV per cell: 3.54

a = 5.8184 Å, b = 5.8184 Å, c = 4.1819 Å
α = 90.00°, β = 90.00°, γ = 90.00°
Element x y z (fractional)
K (0.0000, 0.0000, 0.0000)
Co (0.0000, 0.0000, 0.5000)
Pb (0.0000, 0.5000, 0.0000)
Pb (0.5000, 0.0000, 0.0000)
Se (0.5000, 0.5000, 0.5000)

=====

LaMnOs2 | GGA-PBEsol | relaxed

## Properties
Uncorrected energy in eV/atom: -9.188
Offset from the most stable computed form in meV/atom: 218
Symmetry: I4/mmm (139)
DOS(E_F) in states/eV per cell: 4.87
Calculated formation energy in eV per atom: 0.696

a = 4.8065 Å, b = 4.8065 Å, c = 4.8065 Å
α = 127.52°, β = 127.52°, γ = 77.41°
Element x y z (fractional)
La (0.0000, 0.0000, 0.0000)
Mn (0.5000, 0.5000, 0.0000)
Os (0.2500, 0.7500, 0.5000)
Os (0.7500, 0.2500, 0.5000)

=====

TlTcP2 | GGA-PBEsol | relaxed

## Properties
Uncorrected energy in eV/atom: -6.377
Offset from the most stable computed form in meV/atom: 0
Symmetry: C2/m (12)
DOS(E_F) in states/eV per cell: 3.20
Calculated formation energy in eV per atom: -0.007

a = 4.0586 Å, b = 4.0586 Å, c = 6.5931 Å
α = 98.49°, β = 98.49°, γ = 45.18°
Element x y z (fractional)
Tl (0.0000, 0.0000, 0.0000)
Tc (0.5000, 0.5000, 0.5000)
P (0.2271, 0.2271, 0.6460)
P (0.7729, 0.7729, 0.3540)

=====

TlRh2W | GGA-PBEsol | relaxed

## Properties
Uncorrected energy in eV/atom: -7.942
Offset from the most stable computed form in meV/atom: 57
Symmetry: Cmmm (65)
DOS(E_F) in states/eV per cell: 2.39
Calculated formation energy in eV per atom: 0.236

a = 4.7678 Å, b = 4.7678 Å, c = 2.8542 Å
α = 90.00°, β = 90.00°, γ = 104.74°
Element x y z (fractional)
Tl (0.0000, 0.0000, 0.0000)
Rh (0.0000, 0.5000, 0.5000)
Rh (0.5000, 0.0000, 0.5000)
W (0.5000, 0.5000, 0.0000)

=====

Ag2SbRu | GGA-PBEsol | relaxed

## Properties
Uncorrected energy in eV/atom: -5.024
Energy relative to the elements, uncorrected in meV per atom: 314
Symmetry: P2/m (10)
DOS(E_F) in states/eV per cell: 3.55

a = 3.0254 Å, b = 5.1232 Å, c = 4.4782 Å
α = 90.00°, β = 91.31°, γ = 90.00°
Element x y z (fractional)
Ag (0.2460, 0.0000, 0.2456)
Ag (0.7540, 0.0000, 0.7544)
Sb (0.0000, 0.5000, 0.5000)
Ru (0.5000, 0.5000, 0.0000)

=====

Er3Pb | GGA-PBEsol | relaxed

## Properties
Uncorrected energy in eV/atom: -4.988
Symmetry: I4/mmm (139)
DOS(E_F) in states/eV per cell: 3.87
Calculated formation energy in eV per atom: -0.293

a = 6.0719 Å, b = 6.0719 Å, c = 6.0719 Å
α = 135.83°, β = 135.83°, γ = 64.24°
Element x y z (fractional)
Er (0.0000, 0.0000, 0.0000)
Er (0.2500, 0.7500, 0.5000)
Er (0.7500, 0.2500, 0.5000)
Pb (0.5000, 0.5000, 0.0000)

=====

BaCaRe2 | GGA-PBEsol | relaxed

## Properties
Uncorrected energy in eV/atom: -6.462
Symmetry: Immm (71)
DOS(E_F) in states/eV per cell: 2.97
Calculated formation energy in eV per atom: 1.275

a = 6.0151 Å, b = 6.0151 Å, c = 6.0151 Å
α = 146.38°, β = 137.34°, γ = 55.38°
Element x y z (fractional)
Ba (0.0000, 0.0000, 0.0000)
Ca (0.5000, 0.5000, 0.0000)
Re (0.2532, 0.7532, 0.5000)
Re (0.7468, 0.2468, 0.5000)

=====

Li6MnO3F3 | GGA-PBEsol | relaxed

## Properties
Uncorrected energy in eV/atom: -5.586
Energy relative to the elements, uncorrected in meV per atom: -2271
Symmetry: P1 (1)
DOS(E_F) in states/eV per cell: 0.00

a = 5.0194 Å, b = 5.0424 Å, c = 10.2293 Å
α = 101.13°, β = 97.30°, γ = 101.68°
Element x y z (fractional)
Li (0.0000, 0.0000, 0.0000)
Li (0.0065, 0.0136, 0.5109)
Li (0.0820, 0.3225, 0.7999)
Li (0.1681, 0.2903, 0.3310)
Li (0.2763, 0.5031, 0.5967)
Li (0.3460, 0.4831, 0.1286)
Li (0.4442, 0.8181, 0.4136)
Li (0.4635, 0.8416, 0.9194)
Li (0.6037, 0.1502, 0.6717)
Li (0.6296, 0.1019, 0.1675)
Li (0.7947, 0.7117, 0.7477)
Li (0.8188, 0.6610, 0.2407)
Mn (0.6841, 0.3913, 0.9613)
Mn (0.6959, 0.3920, 0.4634)
O (0.3728, 0.1806, 0.4916)
O (0.3894, 0.1771, 0.0067)
O (0.5215, 0.4643, 0.3061)
O (0.6530, 0.7246, 0.0693)
O (0.7697, 0.0865, 0.8508)
O (0.9133, 0.3623, 0.6212)
F (0.0203, 0.6365, 0.9077)
F (0.0634, 0.6290, 0.4320)
F (0.4509, 0.4915, 0.7742)
F (0.6279, 0.7859, 0.5813)
F (0.8226, 0.0292, 0.3390)
F (0.9783, 0.3463, 0.1553)

=====

Which theoretical density belongs to each record? In order, 5.038; 1.962; 3.319; 5.515; 10.074; 6.093; 3.479; 8.712; 7.190; 3.275; 14.853; 14.658; 4.017; 5.823; 7.436; 10.649; 6.937; 14.073; 7.957; 15.721; 10.494; 10.983; 11.259; 2.732 g cm⁻³.